[1]
DFT (GGA-PBE) results for crystalline NaMn3Tl at its relaxed geometry.

Unit cell a=4.865 b=4.865 c=4.865 alpha=90.00 beta=90.00 gamma=90.00
Space group Pm-3m (No. 221)
Inequivalent atoms, fractional coordinates:
Na  0.000  0.000  0.000 (multiplicity 1)
Mn  0.000  0.000  0.500 (multiplicity 3)
Tl  0.500  0.500  0.500 (multiplicity 1)

Results
Density of states at the Fermi level (states/eV/f.u.): 4.77
DFT total energy (eV/atom): -4.73

***

[2]
DFT (GGA-PBE) results for crystalline Na2MnTl at its relaxed geometry.

Unit cell a=8.610 b=8.610 c=5.739 alpha=90.00 beta=90.00 gamma=90.00
Space group I-42d (No. 122)
Inequivalent atoms, fractional coordinates:
Na  0.245  0.250  0.125 (multiplicity 8)
Mn  0.000  0.000  0.000 (multiplicity 4)
Tl  0.000  0.000  0.500 (multiplicity 4)

Results
Density of states at the Fermi level (states/eV/f.u.): 1.52
DFT total energy (eV/atom): -3.06

***

[3]
DFT (GGA-PBE) results for crystalline NaMnTl3 at its relaxed geometry.

Unit cell a=5.515 b=5.515 c=5.515 alpha=90.00 beta=90.00 gamma=90.00
Space group Pm-3m (No. 221)
Inequivalent atoms, fractional coordinates:
Na  0.000  0.000  0.000 (multiplicity 1)
Mn  0.500  0.500  0.500 (multiplicity 1)
Tl  0.000  0.000  0.500 (multiplicity 3)

Results
Density of states at the Fermi level (states/eV/f.u.): 3.28
DFT total energy (eV/atom): -2.72

***

[4]
DFT (GGA-PBE) results for crystalline Na3MnTl at its relaxed geometry.

Unit cell a=5.733 b=5.733 c=5.733 alpha=90.00 beta=90.00 gamma=90.00
Space group Pm-3m (No. 221)
Inequivalent atoms, fractional coordinates:
Na  0.000  0.000  0.500 (multiplicity 3)
Mn  0.000  0.000  0.000 (multiplicity 1)
Tl  0.500  0.500  0.500 (multiplicity 1)

Results
Density of states at the Fermi level (states/eV/f.u.): 4.71
DFT total energy (eV/atom): -2.43

***

[5]
DFT (GGA-PBE) results for crystalline Na2MnTl at its relaxed geometry.

Unit cell a=7.375 b=7.375 c=7.375 alpha=90.00 beta=90.00 gamma=90.00
Space group Fm-3m (No. 225)
Inequivalent atoms, fractional coordinates:
Na  0.250  0.250  0.250 (multiplicity 8)
Mn  0.000  0.000  0.000 (multiplicity 4)
Tl  0.000  0.000  0.500 (multiplicity 4)

Results
Density of states at the Fermi level (states/eV/f.u.): 1.64
DFT total energy (eV/atom): -3.13

***

[6]
DFT (GGA-PBE) results for crystalline Na2MnV at its relaxed geometry.

Unit cell a=8.334 b=8.334 c=5.280 alpha=90.00 beta=90.00 gamma=90.00
Space group I-42d (No. 122)
Inequivalent atoms, fractional coordinates:
Na  0.238  0.250  0.125 (multiplicity 8)
Mn  0.000  0.000  0.000 (multiplicity 4)
V  0.000  0.000  0.500 (multiplicity 4)

Results
Density of states at the Fermi level (states/eV/f.u.): 2.07
DFT total energy (eV/atom): -4.19

***

[7]
DFT (GGA-PBE) results for crystalline NaMn3V at its relaxed geometry.

Unit cell a=4.602 b=4.602 c=4.602 alpha=90.00 beta=90.00 gamma=90.00
Space group Pm-3m (No. 221)
Inequivalent atoms, fractional coordinates:
Na  0.000  0.000  0.000 (multiplicity 1)
Mn  0.000  0.000  0.500 (multiplicity 3)
V  0.500  0.500  0.500 (multiplicity 1)

Results
Density of states at the Fermi level (states/eV/f.u.): 7.39
DFT total energy (eV/atom): -5.79

***

[8]
DFT (GGA-PBE) results for crystalline NaMnV2 at its relaxed geometry.

Unit cell a=4.237 b=4.237 c=18.772 alpha=90.00 beta=90.00 gamma=90.00
Space group I4_1/amd (No. 141, origin choice 2)
Inequivalent atoms, fractional coordinates:
Na  0.000  0.250  0.375 (multiplicity 4)
Mn  0.000  0.250  0.875 (multiplicity 4)
V  0.000  0.000  0.000 (multiplicity 8)

Results
Density of states at the Fermi level (states/eV/f.u.): 4.01
DFT total energy (eV/atom): -5.84

***

[9]
DFT (GGA-PBE) results for crystalline NaMnV2 at its relaxed geometry.

Unit cell a=6.178 b=6.178 c=6.178 alpha=90.00 beta=90.00 gamma=90.00
Space group Fm-3m (No. 225)
Inequivalent atoms, fractional coordinates:
Na  0.000  0.000  0.000 (multiplicity 4)
Mn  0.000  0.000  0.500 (multiplicity 4)
V  0.250  0.250  0.250 (multiplicity 8)

Results
Density of states at the Fermi level (states/eV/f.u.): 4.89
DFT total energy (eV/atom): -6.35

***

[10]
DFT (GGA-PBE) results for crystalline Na3MnV at its relaxed geometry.

Unit cell a=5.604 b=5.604 c=5.604 alpha=90.00 beta=90.00 gamma=90.00
Space group Pm-3m (No. 221)
Inequivalent atoms, fractional coordinates:
Na  0.000  0.000  0.500 (multiplicity 3)
Mn  0.000  0.000  0.000 (multiplicity 1)
V  0.500  0.500  0.500 (multiplicity 1)

Results
Density of states at the Fermi level (states/eV/f.u.): 11.23
DFT total energy (eV/atom): -3.05

***

[11]
DFT (GGA-PBE) results for crystalline Na2MnV at its relaxed geometry.

Unit cell a=7.271 b=7.271 c=7.271 alpha=90.00 beta=90.00 gamma=90.00
Space group Fm-3m (No. 225)
Inequivalent atoms, fractional coordinates:
Na  0.250  0.250  0.250 (multiplicity 8)
Mn  0.000  0.000  0.000 (multiplicity 4)
V  0.000  0.000  0.500 (multiplicity 4)

Results
Density of states at the Fermi level (states/eV/f.u.): 7.72
DFT total energy (eV/atom): -4.02

***

[12]
DFT (GGA-PBE) results for crystalline NaMn3V at its relaxed geometry.

Unit cell a=4.618 b=4.618 c=4.618 alpha=90.00 beta=90.00 gamma=90.00
Space group Pm-3m (No. 221)
Inequivalent atoms, fractional coordinates:
Na  0.000  0.000  0.000 (multiplicity 1)
Mn  0.000  0.500  0.500 (multiplicity 3)
V  0.500  0.500  0.500 (multiplicity 1)

Results
Density of states at the Fermi level (states/eV/f.u.): 3.15
DFT total energy (eV/atom): -6.68

***

[13]
DFT (GGA-PBE) results for crystalline Na2MnW at its relaxed geometry.

Unit cell a=6.554 b=6.554 c=6.554 alpha=90.00 beta=90.00 gamma=90.00
Space group Fm-3m (No. 225)
Inequivalent atoms, fractional coordinates:
Na  0.250  0.250  0.250 (multiplicity 8)
Mn  0.000  0.000  0.000 (multiplicity 4)
W  0.000  0.000  0.500 (multiplicity 4)

Results
Density of states at the Fermi level (states/eV/f.u.): 7.08
DFT total energy (eV/atom): -3.99

***

[14]
DFT (GGA-PBE) results for crystalline Na2MnW2 at its relaxed geometry.

Unit cell a=3.561 b=3.561 c=19.681 alpha=90.00 beta=90.00 gamma=90.00
Space group I4/mmm (No. 139)
Inequivalent atoms, fractional coordinates:
Na  0.000  0.000  0.109 (multiplicity 4)
Mn  0.000  0.000  0.500 (multiplicity 2)
W  0.000  0.500  0.250 (multiplicity 4)

Results
Density of states at the Fermi level (states/eV/f.u.): 5.94
DFT total energy (eV/atom): -6.25

***

[15]
DFT (GGA-PBE) results for crystalline Na2MnW2 at its relaxed geometry.

Unit cell a=8.917 b=8.917 c=2.563 alpha=90.00 beta=90.00 gamma=90.00
Space group P4/mbm (No. 127)
Inequivalent atoms, fractional coordinates:
Na  0.198  0.302  0.000 (multiplicity 4)
Mn  0.000  0.000  0.000 (multiplicity 2)
W  0.095  0.595  0.500 (multiplicity 4)

Results
Density of states at the Fermi level (states/eV/f.u.): 4.55
DFT total energy (eV/atom): -5.77

***

[16]
DFT (GGA-PBE) results for crystalline Na2MnW at its relaxed geometry.

Unit cell a=8.260 b=8.260 c=5.002 alpha=90.00 beta=90.00 gamma=90.00
Space group I-42d (No. 122)
Inequivalent atoms, fractional coordinates:
Na  0.227  0.250  0.125 (multiplicity 8)
Mn  0.000  0.000  0.000 (multiplicity 4)
W  0.000  0.000  0.500 (multiplicity 4)

Results
Density of states at the Fermi level (states/eV/f.u.): 2.31
DFT total energy (eV/atom): -4.65

***

[17]
DFT (GGA-PBE) results for crystalline NaMnW2 at its relaxed geometry.

Unit cell a=3.770 b=3.770 c=20.117 alpha=90.00 beta=90.00 gamma=90.00
Space group I-42d (No. 122)
Inequivalent atoms, fractional coordinates:
Na  0.000  0.000  0.000 (multiplicity 4)
Mn  0.000  0.000  0.500 (multiplicity 4)
W  0.232  0.750  0.625 (multiplicity 8)

Results
Density of states at the Fermi level (states/eV/f.u.): 3.01
DFT total energy (eV/atom): -7.80

***

[18]
DFT (GGA-PBE) results for crystalline NaMnW2 at its relaxed geometry.

Unit cell a=6.185 b=6.185 c=6.185 alpha=90.00 beta=90.00 gamma=90.00
Space group Fm-3m (No. 225)
Inequivalent atoms, fractional coordinates:
Na  0.000  0.000  0.000 (multiplicity 4)
Mn  0.000  0.000  0.500 (multiplicity 4)
W  0.250  0.250  0.250 (multiplicity 8)

Results
Density of states at the Fermi level (states/eV/f.u.): 4.71
DFT total energy (eV/atom): -7.97

***

[19]
DFT (GGA-PBE) results for crystalline Na3MnW at its relaxed geometry.

Unit cell a=5.838 b=5.838 c=5.838 alpha=90.00 beta=90.00 gamma=90.00
Space group Pm-3m (No. 221)
Inequivalent atoms, fractional coordinates:
Na  0.000  0.000  0.500 (multiplicity 3)
Mn  0.500  0.500  0.500 (multiplicity 1)
W  0.000  0.000  0.000 (multiplicity 1)

Results
Density of states at the Fermi level (states/eV/f.u.): 6.62
DFT total energy (eV/atom): -3.28

***

[20]
DFT (GGA-PBE) results for crystalline NaMnW3 at its relaxed geometry.

Unit cell a=4.562 b=4.562 c=4.562 alpha=90.00 beta=90.00 gamma=90.00
Space group Pm-3m (No. 221)
Inequivalent atoms, fractional coordinates:
Na  0.000  0.000  0.000 (multiplicity 1)
Mn  0.500  0.500  0.500 (multiplicity 1)
W  0.000  0.500  0.500 (multiplicity 3)

Results
Density of states at the Fermi level (states/eV/f.u.): 5.70
DFT total energy (eV/atom): -8.33